This record from the Alexandria database describes an optimized crystal structure of LaSiRh2. The functional is PBE.

Results
Space-group type: I-42d (122)
DOS(E_F): 0.58 states/eV/atom
Energy relative to the elements, uncorrected: -0.59 eV/atom

Structure (POSCAR):
```
LaSiRh2
1.0
-3.593 3.593 3.101
3.593 -3.593 3.101
3.593 3.593 -3.101
La Si Rh
2 2 4
direct
0.000 0.000 0.000 La
0.750 0.250 0.500 La
0.250 0.750 0.500 Si
0.500 0.500 0.000 Si
0.207 0.125 0.582 Rh
0.375 0.793 0.918 Rh
0.543 0.625 0.418 Rh
0.875 0.457 0.082 Rh
```

This record from the Alexandria database describes an optimized crystal structure of LaNd7Dy3. The functional is PBE.

Results
Space-group type: Immm (71)
Calculated formation energy: 0.2115 eV/atom
DOS(E_F): 1.44 states/eV/atom

Structure (POSCAR):
```
LaNd7Dy3
1.0
-2.985 5.685 5.731
2.985 -5.685 5.731
2.985 5.685 -5.731
La Nd Dy
1 7 3
direct
0.000 0.000 0.000 La
0.000 0.500 0.500 Nd
0.096 0.297 0.799 Nd
0.291 0.000 0.291 Nd
0.498 0.297 0.201 Nd
0.502 0.703 0.799 Nd
0.709 0.000 0.709 Nd
0.904 0.703 0.201 Nd
0.297 0.797 0.500 Dy
0.500 0.500 0.000 Dy
0.703 0.203 0.500 Dy
```